# 1
This record from Alexandria describes an optimized crystal structure of InNi2Br. The functional is PBE.

Values from the calculation:
V = 17.36 Å³/atom
symmetry = No. 216
total magnetization = 0.000 μB per atom
calculated density = 7.463 g/cm³
uncorrected energy = -13.45 eV per cell

CIF file:
```
data_InNi2Br
_chemical_formula_sum 'In1 Ni2 Br1'
_space_group_name_H-M_alt 'P 1'
_space_group_IT_number 1
_cell_length_a 4.614
_cell_length_b 4.614
_cell_length_c 4.614
_cell_angle_alpha 60.00
_cell_angle_beta 60.00
_cell_angle_gamma 60.00
loop_
_space_group_symop_operation_xyz
'x,y,z'
loop_
_atom_site_label
_atom_site_fract_x
_atom_site_fract_y
_atom_site_fract_z
In1 0.000 0.000 0.000
Ni1 0.250 0.250 0.250
Ni2 0.500 0.500 0.500
Br1 0.750 0.750 0.750
```

=====

# 2
This record from Alexandria describes an optimized crystal structure of AlPbCl2. The functional is PBE.

Values from the calculation:
V = 25.83 Å³/atom
symmetry = No. 12
total magnetization = 0.000 μB per atom
calculated density = 4.904 g/cm³
uncorrected energy = -12.87 eV per cell
DOS(E_F) = 1.3 states/eV/f.u.

CIF file:
```
data_AlPbCl2
_chemical_formula_sum 'Al1 Pb1 Cl2'
_space_group_name_H-M_alt 'P 1'
_space_group_IT_number 1
_cell_length_a 5.862
_cell_length_b 5.862
_cell_length_c 3.453
_cell_angle_alpha 105.99
_cell_angle_beta 105.99
_cell_angle_gamma 103.51
loop_
_space_group_symop_operation_xyz
'x,y,z'
loop_
_atom_site_label
_atom_site_fract_x
_atom_site_fract_y
_atom_site_fract_z
Al1 0.000 0.000 0.000
Pb1 0.500 0.500 0.000
Cl1 0.000 0.500 0.000
Cl2 0.500 0.000 0.000
```

=====

# 3
This record from Alexandria describes an optimized crystal structure of TcP2W. The functional is PBE.

Values from the calculation:
V = 14.44 Å³/atom
energy of formation = 226 meV/atom
symmetry = No. 71
total magnetization = 0.000 μB per atom
calculated density = 9.883 g/cm³
DOS(E_F) = 3.1 states/eV/f.u.

CIF file:
```
data_TcP2W
_chemical_formula_sum 'Tc1 P2 W1'
_space_group_name_H-M_alt 'P 1'
_space_group_IT_number 1
_cell_length_a 4.814
_cell_length_b 4.814
_cell_length_c 4.814
_cell_angle_alpha 143.55
_cell_angle_beta 117.19
_cell_angle_gamma 74.86
loop_
_space_group_symop_operation_xyz
'x,y,z'
loop_
_atom_site_label
_atom_site_fract_x
_atom_site_fract_y
_atom_site_fract_z
Tc1 0.000 0.000 0.000
P1 0.245 0.745 0.500
P2 0.755 0.255 0.500
W1 0.500 0.500 0.000
```

=====

# 4
This record from Alexandria describes an optimized crystal structure of FeCo4Os. The functional is PBE.

Values from the calculation:
V = 11.94 Å³/atom
energy of formation = 207 meV/atom
symmetry = No. 216
total magnetization = 1.819 μB per atom
calculated density = 11.167 g/cm³
DOS(E_F) = 8.5 states/eV/f.u.

CIF file:
```
data_FeCo4Os
_chemical_formula_sum 'Fe1 Co4 Os1'
_space_group_name_H-M_alt 'P 1'
_space_group_IT_number 1
_cell_length_a 4.662
_cell_length_b 4.662
_cell_length_c 4.662
_cell_angle_alpha 60.00
_cell_angle_beta 60.00
_cell_angle_gamma 60.00
loop_
_space_group_symop_operation_xyz
'x,y,z'
loop_
_atom_site_label
_atom_site_fract_x
_atom_site_fract_y
_atom_site_fract_z
Fe1 0.000 0.000 0.000
Co1 0.375 0.375 0.375
Co2 0.375 0.375 0.876
Co3 0.375 0.876 0.375
Co4 0.876 0.375 0.375
Os1 0.750 0.750 0.750
```

=====

# 5
This record from Alexandria describes an optimized crystal structure of AsRuPb2. The functional is PBE.

Values from the calculation:
V = 21.88 Å³/atom
energy of formation = 563 meV/atom
symmetry = No. 216
total magnetization = 0.000 μB per atom
calculated density = 11.202 g/cm³
DOS(E_F) = 3.8 states/eV/f.u.

CIF file:
```
data_AsRuPb2
_chemical_formula_sum 'As1 Ru1 Pb2'
_space_group_name_H-M_alt 'P 1'
_space_group_IT_number 1
_cell_length_a 4.983
_cell_length_b 4.983
_cell_length_c 4.983
_cell_angle_alpha 60.00
_cell_angle_beta 60.00
_cell_angle_gamma 60.00
loop_
_space_group_symop_operation_xyz
'x,y,z'
loop_
_atom_site_label
_atom_site_fract_x
_atom_site_fract_y
_atom_site_fract_z
As1 0.000 0.000 0.000
Ru1 0.250 0.250 0.250
Pb1 0.500 0.500 0.500
Pb2 0.750 0.750 0.750
```

=====

# 6
This record from Alexandria describes an optimized crystal structure of SiAgN. The functional is PBE.

Values from the calculation:
V = 15.37 Å³/atom
symmetry = No. 2
total magnetization = 0.000 μB per atom
calculated density = 5.401 g/cm³
uncorrected energy = -34.11 eV per cell
DOS(E_F) = 0.1 states/eV/f.u.

CIF file:
```
data_SiAgN
_chemical_formula_sum 'Si2 Ag2 N2'
_space_group_name_H-M_alt 'P 1'
_space_group_IT_number 1
_cell_length_a 3.007
_cell_length_b 5.708
_cell_length_c 5.783
_cell_angle_alpha 81.70
_cell_angle_beta 75.04
_cell_angle_gamma 74.75
loop_
_space_group_symop_operation_xyz
'x,y,z'
loop_
_atom_site_label
_atom_site_fract_x
_atom_site_fract_y
_atom_site_fract_z
Si1 0.231 0.377 0.162
Si2 0.769 0.623 0.838
Ag1 0.384 0.946 0.284
Ag2 0.616 0.054 0.716
N1 0.364 0.448 0.824
N2 0.636 0.552 0.176
```

=====

Q: Which of these has the highest calculated density?
A: AsRuPb2

=====

Q: Which formula does entry 1 have?
A: InNi2Br

=====

Q: Which formula does entry 5 have?
A: AsRuPb2